Record 1
DFT (PBE) results for a geometry-optimized P4RuW structure.

Geometry as extended XYZ:
```
6
Lattice="-2.4855 -4.2018 0.0578 -0.5146 -2.4746 4.1771 -4.3618 -0.2263 2.1818" Properties=species:S:1:pos:R:3 pbc="T T T"
P -4.0036 -4.6899 2.4348
P -4.9421 -2.7014 3.4972
P -3.0178 -3.8260 4.4953
P -2.7604 -2.5882 2.4059
Ru -5.5214 -5.1771 4.8125
W 0.0000 0.0000 0.0000
```

Values from the calculation:
The value obtained for the spin magnetization is 0.000 μB per atom. For the raw total energy, the calculation gives -38.8 eV per formula unit. The value obtained for the formation energy from the elements is 0.850 eV per atom.

=====

Record 2
DFT (PBE) results for a geometry-optimized Ca2AcSm structure.

Geometry as extended XYZ:
```
4
Lattice="3.8755 0.0000 0.0000 0.0000 3.8755 0.0000 0.0000 0.0000 10.7981" Properties=species:S:1:pos:R:3 pbc="T T T"
Ca 0.0000 0.0000 0.0189
Ca 1.9377 1.9377 2.8247
Ac 1.9377 1.9377 7.9178
Sm 0.0000 0.0000 5.4358
```

Values from the calculation:
The value obtained for the spin magnetization is 0.000 μB per atom. For the raw total energy, the calculation gives -12.7 eV per formula unit. The value obtained for the formation energy from the elements is 0.033 eV per atom. As for the energy above the most stable polymorph in this dataset: 0.00 kJ/mol of atoms.

=====

Record 3
DFT (PBE) results for a geometry-optimized ZrMo3 structure.

Geometry as extended XYZ:
```
8
Lattice="-2.9990 2.8411 2.4535 -2.9854 -4.1924 1.2054 2.9933 -0.8098 4.5966" Properties=species:S:1:pos:R:3 pbc="T T T"
Zr 1.1168 -0.3022 1.7151
Zr -1.1158 -1.1833 4.7110
Mo 0.5046 0.8783 4.3044
Mo 1.8137 -1.7963 4.2971
Mo -1.8127 0.3108 2.1290
Mo -0.5036 -2.3638 2.1217
Mo 0.3874 -3.7993 4.8730
Mo -3.3717 -1.8786 2.7585
```

Values from the calculation:
The value obtained for the spin magnetization is 0.000 μB per atom. For the raw total energy, the calculation gives -39.9 eV per formula unit. The value obtained for the formation energy from the elements is 0.289 eV per atom.

=====

Record 4
DFT (PBE) results for a geometry-optimized CsGa2PbI8 structure.

Geometry as extended XYZ:
```
12
Lattice="7.6514 0.0000 0.0000 3.8257 6.6263 0.0000 3.8257 2.2088 11.1676" Properties=species:S:1:pos:R:3 pbc="T T T"
Cs 7.6514 4.4175 5.5838
Ga 3.8257 2.2088 2.8201
Ga 11.4771 6.6263 8.3475
Pb 0.0000 0.0000 0.0000
I 3.8257 2.2088 5.4502
I 6.3820 2.3169 1.9546
I 11.4771 6.6263 5.7174
I 10.1054 4.3686 1.9546
I 5.1975 4.4665 9.2130
I 6.4669 6.5672 1.9546
I 8.8360 2.2679 9.2130
I 8.9208 6.5182 9.2130
```

Values from the calculation:
The value obtained for the spin magnetization is 0.000 μB per atom. For the raw total energy, the calculation gives -30.7 eV per formula unit. For the formation energy (no corrections), the calculation gives -0.6369 eV/atom.